1.
AgSeCl2: optimized geometry, PBE-GGA.

Structure (POSCAR):
```
AgSeCl2
1.0
-3.689 3.689 3.335
3.689 -3.689 3.335
3.689 3.689 -3.335
Ag Se Cl
2 2 4
Direct
0.000 0.000 0.000
0.750 0.250 0.500
0.250 0.750 0.500
0.500 0.500 0.000
0.111 0.625 0.986
0.375 0.361 0.486
0.639 0.125 0.014
0.875 0.889 0.514
```

**E_form (uncorrected)**: 19.8 kJ/mol of atoms
**Fermi-level density of states**: 7.43 states/eV per cell
**Relative energy among the computed polymorphs**: 338.3 meV/atom
**E**: -2.30 eV per atom

=====

2.
AgSeCl3: optimized geometry, PBE-GGA.

Structure (POSCAR):
```
AgSeCl3
1.0
5.083 0.000 0.000
0.000 5.083 0.000
0.000 0.000 5.083
Ag Se Cl
1 1 3
Direct
0.000 0.000 0.000
0.500 0.500 0.500
0.000 0.000 0.500
0.000 0.500 0.000
0.500 0.000 0.000
```

**E_form (uncorrected)**: 19.7 kJ/mol of atoms
**Fermi-level density of states**: 1.75 states/eV per cell
**Relative energy among the computed polymorphs**: 469.0 meV/atom
**E**: -2.17 eV per atom

=====

3.
Ag2SeCl: optimized geometry, PBE-GGA.

Structure (POSCAR):
```
Ag2SeCl
1.0
1.885 -3.148 0.000
1.885 3.148 0.000
0.000 0.000 7.596
Ag Se Cl
2 1 1
Direct
0.000 0.000 0.246
0.000 0.000 0.754
0.500 0.500 0.000
0.500 0.500 0.500
```

**E_form (uncorrected)**: -7.0 kJ/mol of atoms
**Fermi-level density of states**: 2.70 states/eV per cell
**Relative energy among the computed polymorphs**: 164.2 meV/atom
**E**: -2.83 eV per atom

=====

4.
AgSeCl2: optimized geometry, PBE-GGA.

Structure (POSCAR):
```
AgSeCl2
1.0
1.900 1.097 8.032
-1.900 1.097 8.032
0.000 -2.194 8.032
Ag Se Cl
1 1 2
Direct
0.000 0.000 0.000
0.269 0.269 0.269
0.528 0.528 0.528
0.726 0.726 0.726
```

**E_form (uncorrected)**: 1.7 kJ/mol of atoms
**Fermi-level density of states**: 4.97 states/eV per cell
**Relative energy among the computed polymorphs**: 149.9 meV/atom
**E**: -2.49 eV per atom

=====

5.
Ag4SeCl: optimized geometry, PBE-GGA.

Structure (POSCAR):
```
Ag4SeCl
1.0
0.000 3.953 3.953
3.953 0.000 3.953
3.953 3.953 0.000
Ag Se Cl
4 1 1
Direct
0.125 0.125 0.125
0.125 0.125 0.624
0.125 0.624 0.125
0.624 0.125 0.125
0.500 0.500 0.500
0.750 0.750 0.750
```

**E_form (uncorrected)**: 21.4 kJ/mol of atoms
**Fermi-level density of states**: 3.59 states/eV per cell
**Relative energy among the computed polymorphs**: 347.2 meV/atom
**E**: -2.57 eV per atom

=====

6.
AgSeCl3: optimized geometry, PBE-GGA.

Structure (POSCAR):
```
AgSeCl3
1.0
4.314 0.000 0.000
-1.434 8.229 0.000
-0.111 -1.672 8.595
Ag Se Cl
2 2 6
Direct
0.167 0.375 0.346
0.833 0.625 0.654
0.039 0.909 0.094
0.961 0.091 0.906
0.172 0.405 0.639
0.256 0.333 0.050
0.377 0.101 0.294
0.623 0.899 0.706
0.744 0.667 0.950
0.828 0.595 0.361
```

**E_form (uncorrected)**: -24.8 kJ/mol of atoms
**Fermi-level density of states**: 4.74 states/eV per cell
**Relative energy among the computed polymorphs**: 8.3 meV/atom
**E**: -2.63 eV per atom

=====

Number 3 is which compound?
Ag2SeCl